# 1
Material: SrLiMgI2
Method: DFT, GGA-PBE
State: optimized geometry

Summary:
Formation energy without anion corrections: -0.9 eV per formula unit
SG: P4/mmm (123)
Crystal system: tetragonal
DOS at the Fermi energy: 3.2 states/eV per cell
Calculated density: 2.664 g cm⁻³

Cell: 5.791 6.926 5.791 Å, 90.00 90.00 90.00°
Site moments in Bohr magnetons follow the coordinates.
Fractional positions:
Mg 0.000 0.000 0.000  0.01
Li 0.500 0.500 0.500  0.05
Sr 0.000 0.500 0.000  0.03
I 0.500 0.000 0.000  0.01
I 0.000 0.000 0.500  0.00

***

# 2
Material: TlBTe3
Method: DFT, GGA-PBE
State: optimized geometry

Summary:
Formation energy without anion corrections: 7.7 eV per formula unit
SG: Pm-3m (221)
Crystal system: cubic
DOS at the Fermi energy: 5.3 states/eV per cell
Calculated density: 5.142 g cm⁻³

Cell: 5.780 5.780 5.780 Å, 90.00 90.00 90.00°
Fractional positions:
B 0.500 0.500 0.500
Te 0.000 0.500 0.000
Te 0.000 0.000 0.500
Te 0.500 0.000 0.000
Tl 0.000 0.000 0.000

***

# 3
Material: NaZrBiO2
Method: DFT, GGA-PBE
State: optimized geometry

Summary:
Formation energy without anion corrections: 0.9 eV per formula unit
SG: P4/mmm (123)
Crystal system: tetragonal
DOS at the Fermi energy: 2.5 states/eV per cell
Calculated density: 6.689 g cm⁻³

Cell: 4.264 4.850 4.264 Å, 90.00 90.00 90.00°
Fractional positions:
O 0.500 0.000 0.000
O 0.000 0.000 0.500
Zr 0.500 0.500 0.500
Bi 0.000 0.500 0.000
Na 0.000 0.000 0.000

***

# 4
Material: CaAlIn
Method: DFT, GGA-PBE
State: optimized geometry

Summary:
Energy of formation from the pure elements: -0.24 eV/atom
SG: P-1 (2)
Crystal system: triclinic
DOS at the Fermi energy: 3.1 states/eV per cell
Calculated density: 3.792 g cm⁻³

Cell: 4.271 5.904 6.744 Å, 98.54 108.48 90.06°
Fractional positions:
In 0.942 0.900 0.194
In 0.785 0.269 0.876
Ca 0.483 0.419 0.275
Ca 0.243 0.751 0.795
Al 0.591 0.936 0.493
Al 0.135 0.234 0.577

***

# 5
Material: BeTe5
Method: DFT, GGA-PBE
State: optimized geometry

Summary:
Formation energy without anion corrections: 0.4 eV per formula unit
SG: Cm (8)
Crystal system: monoclinic
DOS at the Fermi energy: 0.1 states/eV per cell
Energy above the lowest structure with this stoichiometry: 1 meV per atom
Calculated density: 4.329 g cm⁻³

Cell: 8.500 8.500 7.518 Å, 75.03 75.03 28.30°
Fractional positions:
Te 0.527 0.527 0.817
Te 0.369 0.369 0.745
Te 0.281 0.281 0.115
Te 0.004 0.004 0.310
Te 0.643 0.643 0.183
Be 0.009 0.009 0.998

***

# 6
Material: K2ScNi
Method: DFT, GGA-PBE
State: optimized geometry

Summary:
Energy of formation from the pure elements: 0.20 eV/atom
SG: Pm (6)
Crystal system: monoclinic
DOS at the Fermi energy: 2.9 states/eV per cell
Energy above the lowest structure with this stoichiometry: 230 meV per atom
Calculated density: 2.142 g cm⁻³

Cell: 3.593 3.726 10.689 Å, 80.17 90.00 90.00°
Fractional positions:
Ni 0.000 0.257 0.611
Sc 0.500 0.745 0.635
K 0.000 0.099 0.931
K 0.500 0.399 0.324

***

# 7
Material: Sm2ZnPt
Method: DFT, GGA-PBE
State: optimized geometry

Summary:
Energy of formation from the pure elements: -0.31 eV/atom
SG: R-3m (166)
Crystal system: trigonal
DOS at the Fermi energy: 2.5 states/eV per cell
Calculated density: 6.591 g cm⁻³

Cell: 4.195 4.195 9.591 Å, 77.37 77.37 60.00°
Fractional positions:
Zn 0.000 0.000 0.000
Pt 0.500 0.500 0.500
Sm 0.887 0.887 0.340
Sm 0.113 0.113 0.660

***

# 8
Material: CeHoAl2
Method: DFT, GGA-PBE
State: optimized geometry

Summary:
Energy of formation from the pure elements: -0.35 eV/atom
SG: P4/mmm (123)
Crystal system: tetragonal
DOS at the Fermi energy: 4.0 states/eV per cell
Calculated density: 6.393 g cm⁻³

Cell: 3.347 3.347 8.325 Å, 90.00 90.00 90.00°
Site moments in Bohr magnetons follow the coordinates.
Fractional positions:
Ho 0.500 0.500 0.000  -0.01
Ce 0.500 0.500 0.500  0.16
Al 0.000 0.000 0.756  0.00
Al 0.000 0.000 0.244  0.00

***

# 9
Material: La2BeP
Method: DFT, GGA-PBE
State: optimized geometry

Summary:
Energy of formation from the pure elements: -0.60 eV/atom
SG: Imm2 (44)
Crystal system: orthorhombic
DOS at the Fermi energy: 1.6 states/eV per cell
Energy above the lowest structure with this stoichiometry: 80 meV per atom
Calculated density: 5.702 g cm⁻³

Cell: 6.361 6.361 6.361 Å, 145.95 139.75 53.72°
Fractional positions:
Be 0.322 0.822 0.500
La 0.013 0.013 0.000
La 0.742 0.242 0.500
P 0.424 0.424 0.000

***

# 10
Material: NaLiY2Mo
Method: DFT, GGA-PBE
State: optimized geometry

Summary:
Energy of formation from the pure elements: 0.93 eV/atom
SG: P4/mmm (123)
Crystal system: tetragonal
DOS at the Fermi energy: 6.9 states/eV per cell
Calculated density: 3.846 g cm⁻³

Cell: 5.370 4.547 5.370 Å, 90.00 90.00 90.00°
Site moments in Bohr magnetons follow the coordinates.
Fractional positions:
Mo 0.000 0.500 0.000  1.67
Li 0.000 0.000 0.000  0.01
Y 0.000 0.000 0.500  -0.13
Y 0.500 0.000 0.000  -0.12
Na 0.500 0.500 0.500  -0.01

***

# 11
Material: BaGaSbO5
Method: DFT, GGA-PBE
State: optimized geometry

Summary:
Formation energy without anion corrections: -15.9 eV per formula unit
SG: C2/c (15)
Crystal system: monoclinic
DOS at the Fermi energy: 0.0 states/eV per cell
Calculated density: 5.704 g cm⁻³

Cell: 6.004 6.004 7.570 Å, 104.40 104.40 106.49°
Fractional positions:
O 0.226 0.364 0.589
O 0.364 0.226 0.089
O 0.897 0.287 0.098
O 0.063 0.937 0.250
O 0.937 0.063 0.750
O 0.713 0.103 0.402
O 0.636 0.774 0.911
O 0.103 0.713 0.902
O 0.774 0.636 0.411
O 0.287 0.897 0.598
Sb 0.000 0.000 0.500
Sb 0.000 0.000 0.000
Ba 0.337 0.663 0.250
Ba 0.663 0.337 0.750
Ga 0.695 0.305 0.250
Ga 0.305 0.695 0.750

***

# 12
Material: TiZnPd
Method: DFT, GGA-PBE
State: optimized geometry

Summary:
Energy of formation from the pure elements: -0.47 eV/atom
SG: Ama2 (40)
Crystal system: orthorhombic
DOS at the Fermi energy: 3.4 states/eV per cell
Calculated density: 7.993 g cm⁻³

Cell: 4.629 4.808 4.808 Å, 121.45 90.00 90.00°
Site moments in Bohr magnetons follow the coordinates.
Fractional positions:
Pd 0.250 0.617 0.801  0.00
Pd 0.750 0.199 0.383  0.00
Ti 0.250 0.957 0.481  0.23
Ti 0.750 0.519 0.043  0.23
Zn 0.250 0.282 0.142  0.00
Zn 0.750 0.858 0.718  0.00

***

| no. | calculated total energy (eV per atom) |
| --- | --- |
| 1 | -1.83 |
| 2 | -2.16 |
| 3 | -4.56 |
| 4 | -3.07 |
| 5 | -3.16 |
| 6 | -3.38 |
| 7 | -4.50 |
| 8 | -4.84 |
| 9 | -5.35 |
| 10 | -4.47 |
| 11 | -6.22 |
| 12 | -5.25 |